Record 1
Computed, not measured: an optimized crystal structure of ZrTa3H at the PBEsol level of DFT.

Unit cell a=4.2666 b=4.2666 c=4.2666 alpha=90.00 beta=90.00 gamma=90.00
With the nearest neighbours (Å) after each atom.
Positions (direct):
Zr: 0.0000 0.0000 0.0000  12 Ta 3.02
Ta: 0.0000 0.5000 0.5000  2 H 2.13
Ta: 0.5000 0.0000 0.5000  2 H 2.13
Ta: 0.5000 0.5000 0.0000  2 H 2.13
H: 0.5000 0.5000 0.5000  6 Ta 2.13

=====

Record 2
Computed, not measured: an optimized crystal structure of TbH3 at the PBEsol level of DFT.

Unit cell a=3.6306 b=3.6306 c=6.4944 alpha=90.00 beta=90.00 gamma=120.00
With the nearest neighbours (Å) after each atom.
Positions (direct):
Tb: 0.3333 0.6667 0.2500  11 H 2.10-2.32
Tb: 0.6667 0.3333 0.7500  11 H 2.10-2.32
H: 0.0000 0.0000 0.2500  3 Tb 2.10, 6 H 2.32
H: 0.0000 0.0000 0.7500  3 Tb 2.10, 6 H 2.32
H: 0.3333 0.6667 0.5957  1 H 2.00
H: 0.3333 0.6667 0.9043  1 H 2.00
H: 0.6667 0.3333 0.0957  1 H 2.00
H: 0.6667 0.3333 0.4043  1 H 2.00

=====

Record 3
Computed, not measured: an optimized crystal structure of TbH3 at the PBEsol level of DFT.

Unit cell a=6.2634 b=6.2634 c=6.4835 alpha=90.00 beta=90.00 gamma=120.00
With the nearest neighbours (Å) after each atom.
Positions (direct):
Tb: 0.0000 0.3364 0.2500  9 H 2.11-2.30
Tb: 0.0000 0.6636 0.7500  9 H 2.11-2.30
Tb: 0.3364 0.0000 0.2500  9 H 2.11-2.30
Tb: 0.3364 0.3364 0.7500  9 H 2.11-2.30
Tb: 0.6636 0.0000 0.7500  9 H 2.11-2.30
Tb: 0.6636 0.6636 0.2500  9 H 2.11-2.30
H: 0.0000 0.0000 0.2500  3 Tb 2.11, 6 H 2.33
H: 0.0000 0.0000 0.7500  3 Tb 2.11, 6 H 2.33
H: 0.0247 0.3471 0.5944  2 H 2.04-2.26, 2 Tb 2.23-2.24
H: 0.0247 0.6776 0.0944  2 H 2.04-2.26, 2 Tb 2.23-2.24
H: 0.3224 0.3471 0.0944  2 H 2.04-2.26, 2 Tb 2.23-2.24
H: 0.3224 0.9753 0.5944  2 H 2.04-2.26, 2 Tb 2.23-2.24
H: 0.3333 0.6667 0.3244  3 Tb 2.13, 3 H 2.26
H: 0.3333 0.6667 0.8244  3 Tb 2.13, 3 H 2.26
H: 0.3471 0.0247 0.9056  2 H 2.04-2.26, 2 Tb 2.23-2.24
H: 0.3471 0.3224 0.4056  2 H 2.04-2.26, 2 Tb 2.23-2.24
H: 0.6529 0.6776 0.5944  2 H 2.04-2.26, 2 Tb 2.23-2.24
H: 0.6529 0.9753 0.0944  2 H 2.04-2.26, 2 Tb 2.23-2.24
H: 0.6667 0.3333 0.1756  3 Tb 2.13, 3 H 2.26
H: 0.6667 0.3333 0.6756  3 Tb 2.13, 3 H 2.26
H: 0.6776 0.0247 0.4056  2 H 2.04-2.26, 2 Tb 2.23-2.24
H: 0.6776 0.6529 0.9056  2 H 2.04-2.26, 2 Tb 2.23-2.24
H: 0.9753 0.3224 0.9056  2 H 2.04-2.26, 2 Tb 2.23-2.24
H: 0.9753 0.6529 0.4056  2 H 2.04-2.26, 2 Tb 2.23-2.24

=====

Record 4
Computed, not measured: an optimized crystal structure of TiTcH2 at the PBEsol level of DFT.

Unit cell a=3.9703 b=3.9703 c=9.0943 alpha=90.00 beta=90.00 gamma=90.00
With the nearest neighbours (Å) after each atom.
Positions (direct):
Ti: 0.0000 0.0000 0.0000  4 H 1.84
Ti: 0.0000 0.5000 0.2500  4 H 1.84
Ti: 0.5000 0.0000 0.7500  4 H 1.84
Ti: 0.5000 0.5000 0.5000  4 H 1.84
Tc: 0.0000 0.0000 0.5000  4 H 1.77
Tc: 0.0000 0.5000 0.7500  4 H 1.77
Tc: 0.5000 0.0000 0.2500  4 H 1.77
Tc: 0.5000 0.5000 0.0000  4 H 1.77
H: 0.2332 0.2500 0.6250  2 Tc 1.77, 2 Ti 1.84
H: 0.2500 0.7332 0.8750  2 Tc 1.77, 2 Ti 1.84
H: 0.2500 0.7668 0.3750  2 Tc 1.77, 2 Ti 1.84
H: 0.2668 0.2500 0.1250  2 Tc 1.77, 2 Ti 1.84
H: 0.7332 0.7500 0.1250  2 Tc 1.77, 2 Ti 1.84
H: 0.7500 0.2332 0.3750  2 Tc 1.77, 2 Ti 1.84
H: 0.7500 0.2668 0.8750  2 Tc 1.77, 2 Ti 1.84
H: 0.7668 0.7500 0.6250  2 Tc 1.77, 2 Ti 1.84

=====

Number 1: energy -49.3 eV per cell. Number 2: energy -34.9 eV per cell. Number 3: energy -105.0 eV per cell. Number 4: energy -107.9 eV per cell.